The following is a PBE calculation of a relaxed structure of Np2Cr2C2N, from the Alexandria database.

DFT total energy: -10.551 eV/atom
E_form (uncorrected): -0.279 eV/atom

Cell lengths 3.143, 5.369, 5.929 Å; angles 66.71, 74.63, 72.98 degrees
Last column: magnetic moment on the atom in μB.
Positions (direct):
Np: 0.565 0.212 0.659  3.27
Np: 0.435 0.788 0.341  3.27
Cr: 0.202 0.685 0.912  -0.20
Cr: 0.798 0.315 0.088  -0.20
C: 0.173 0.376 0.277  -0.04
C: 0.827 0.624 0.723  -0.04
N: 0.000 0.000 0.000  -0.07